1.
# NdLuPuTl

Crystalline NdLuPuTl at its relaxed geometry (PBE, the Alexandria database).

Density of states at the Fermi level   2.5504 states/eV/atom
Total DFT energy (no corrections)   -6.441 eV/atom

Geometry as CIF:
```
data_NdLuPuTl
_cell_length_a 7.757
_cell_length_b 7.757
_cell_length_c 7.757
_cell_angle_alpha 90.00
_cell_angle_beta 90.00
_cell_angle_gamma 90.00
_symmetry_space_group_name_H-M 'F -4 3 m'
_symmetry_Int_Tables_number 216
_symmetry_space_group_name_Hall 'F -4 2 3'
loop_
_atom_site_label
_atom_site_fract_x
_atom_site_fract_y
_atom_site_fract_z
_atom_site_occupancy
Nd1 0.000 0.000 0.000 1
Lu1 0.250 0.250 0.750 1
Pu1 0.000 0.000 0.500 1
Tl1 0.250 0.250 0.250 1
```

2.
# NdTmLuPu

Crystalline NdTmLuPu at its relaxed geometry (PBE, the Alexandria database).

Density of states at the Fermi level   2.6132 states/eV/atom
Total DFT energy (no corrections)   -6.837 eV/atom

Geometry as CIF:
```
data_NdTmLuPu
_cell_length_a 7.894
_cell_length_b 7.894
_cell_length_c 7.894
_cell_angle_alpha 90.00
_cell_angle_beta 90.00
_cell_angle_gamma 90.00
_symmetry_space_group_name_H-M 'F -4 3 m'
_symmetry_Int_Tables_number 216
_symmetry_space_group_name_Hall 'F -4 2 3'
loop_
_atom_site_label
_atom_site_fract_x
_atom_site_fract_y
_atom_site_fract_z
_atom_site_occupancy
Nd1 0.000 0.000 0.000 1
Tm1 0.250 0.250 0.250 1
Lu1 0.250 0.250 0.750 1
Pu1 0.000 0.000 0.500 1
```

3.
# RbNd2Lu

Crystalline RbNd2Lu at its relaxed geometry (PBE, the Alexandria database).

Density of states at the Fermi level   1.1317 states/eV/atom
Total DFT energy (no corrections)   -3.502 eV/atom

Geometry as CIF:
```
data_RbNd2Lu
_cell_length_a 3.6722
_cell_length_b 3.6722
_cell_length_c 40.3843
_cell_angle_alpha 90.00
_cell_angle_beta 90.00
_cell_angle_gamma 120.00
_symmetry_space_group_name_H-M 'R -3 m'
_symmetry_Int_Tables_number 166
_symmetry_space_group_name_Hall '-R 3 2"'
loop_
_atom_site_label
_atom_site_fract_x
_atom_site_fract_y
_atom_site_fract_z
_atom_site_occupancy
Rb1 0.0000 0.0000 0.0000 1
Nd1 0.0000 0.0000 0.0973 1
Lu1 0.0000 0.0000 0.5000 1
```

4.
# Nd2LuRh

Crystalline Nd2LuRh at its relaxed geometry (PBE, the Alexandria database).

Excess energy over the best structure of this formula in the dataset   0.000 eV/atom
Density of states at the Fermi level   1.3138 states/eV/atom
Total DFT energy (no corrections)   -5.600 eV/atom

Geometry as CIF:
```
data_Nd2LuRh
_cell_length_a 3.630
_cell_length_b 3.630
_cell_length_c 8.477
_cell_angle_alpha 90.00
_cell_angle_beta 90.00
_cell_angle_gamma 90.00
_symmetry_space_group_name_H-M 'P 4/m m m'
_symmetry_Int_Tables_number 123
_symmetry_space_group_name_Hall '-P 4 2'
loop_
_atom_site_label
_atom_site_fract_x
_atom_site_fract_y
_atom_site_fract_z
_atom_site_occupancy
Nd1 0.000 0.000 0.196 1
Lu1 0.500 0.500 0.500 1
Rh1 0.500 0.500 0.000 1
```

no.,total magnetic moment (μB/atom)
1,1.681
2,1.510
3,0.000
4,0.263